No. 1
A plane-wave DFT calculation with PBE was carried out for crystalline Y4ScCd2 at its relaxed geometry.

Cell lengths 9.0510, 9.0510, 9.0510 Å; angles 34.96, 34.96, 34.96 degrees
Sites, in units of the cell vectors:
Y (0.1301, 0.1301, 0.1301)
Y (0.2664, 0.2664, 0.2664)
Y (0.7336, 0.7336, 0.7336)
Y (0.8699, 0.8699, 0.8699)
Sc (0.5000, 0.5000, 0.5000)
Cd (0.3875, 0.3875, 0.3875)
Cd (0.6125, 0.6125, 0.6125)

Values from the calculation:
density of states at the Fermi level: 11.1 states/eV/f.u.
formation enthalpy at 0 K: 0.097 eV per atom

---

No. 2
A plane-wave DFT calculation with PBE was carried out for crystalline Li2SmMg3 at its relaxed geometry.

Cell lengths 3.4917, 3.4917, 11.4298 Å; angles 90.00, 90.00, 90.00 degrees
Sites, in units of the cell vectors:
Li (0.0000, 0.0000, 0.1498)
Li (0.0000, 0.0000, 0.8502)
Sm (0.0000, 0.0000, 0.5000)
Mg (0.5000, 0.5000, 0.0000)
Mg (0.5000, 0.5000, 0.2938)
Mg (0.5000, 0.5000, 0.7062)

Values from the calculation:
density of states at the Fermi level: 4.8 states/eV/f.u.
formation enthalpy at 0 K: -0.052 eV per atom

---

No. 3
A plane-wave DFT calculation with PBE was carried out for crystalline CrIr2Br at its relaxed geometry.

Cell lengths 2.8011, 2.8011, 8.4329 Å; angles 90.00, 90.00, 90.00 degrees
Sites, in units of the cell vectors:
Cr (0.0000, 0.0000, 0.0000)
Ir (0.0000, 0.0000, 0.4293)
Ir (0.5000, 0.5000, 0.2078)
Br (0.5000, 0.5000, 0.8142)

Values from the calculation:
raw total energy: -26.90 eV/f.u.
density of states at the Fermi level: 4.4 states/eV/f.u.

---

No. 4
A plane-wave DFT calculation with PBE was carried out for crystalline NaAcAg2O4 at its relaxed geometry.

Cell lengths 5.9974, 5.9974, 6.7030 Å; angles 90.00, 90.00, 90.00 degrees
Sites, in units of the cell vectors:
Na (0.0000, 0.0000, 0.0000)
Na (0.5000, 0.5000, 0.5000)
Ac (0.0000, 0.0000, 0.5000)
Ac (0.5000, 0.5000, 0.0000)
Ag (0.0000, 0.5000, 0.2500)
Ag (0.0000, 0.5000, 0.7500)
Ag (0.5000, 0.0000, 0.2500)
Ag (0.5000, 0.0000, 0.7500)
O (0.2226, 0.2226, 0.2314)
O (0.2226, 0.7774, 0.7686)
O (0.2774, 0.2774, 0.7314)
O (0.2774, 0.7226, 0.2686)
O (0.7226, 0.2774, 0.2686)
O (0.7226, 0.7226, 0.7314)
O (0.7774, 0.2226, 0.7686)
O (0.7774, 0.7774, 0.2314)

Values from the calculation:
raw total energy: -41.75 eV/f.u.
density of states at the Fermi level: 3.1 states/eV/f.u.

---

No. 5
A plane-wave DFT calculation with PBE was carried out for crystalline ScSiAu2 at its relaxed geometry.

Cell lengths 4.0084, 4.0084, 19.1581 Å; angles 90.00, 90.00, 90.00 degrees
Sites, in units of the cell vectors:
Sc (0.0000, 0.0000, 0.0000)
Sc (0.0000, 0.5000, 0.2500)
Sc (0.5000, 0.0000, 0.7500)
Sc (0.5000, 0.5000, 0.5000)
Si (0.0000, 0.0000, 0.5000)
Si (0.0000, 0.5000, 0.7500)
Si (0.5000, 0.0000, 0.2500)
Si (0.5000, 0.5000, 0.0000)
Au (0.2400, 0.2500, 0.6250)
Au (0.2500, 0.7400, 0.8750)
Au (0.2500, 0.7600, 0.3750)
Au (0.2600, 0.2500, 0.1250)
Au (0.7400, 0.7500, 0.1250)
Au (0.7500, 0.2400, 0.3750)
Au (0.7500, 0.2600, 0.8750)
Au (0.7600, 0.7500, 0.6250)

Values from the calculation:
raw total energy: -19.39 eV/f.u.
density of states at the Fermi level: 1.7 states/eV/f.u.

---

No. 6
A plane-wave DFT calculation with PBE was carried out for crystalline BaTlSn2Rh at its relaxed geometry.

Cell lengths 5.2713, 5.2713, 5.3558 Å; angles 90.00, 90.00, 90.00 degrees
Sites, in units of the cell vectors:
Ba (0.0000, 0.0000, 0.0000)
Tl (0.5000, 0.5000, 0.0000)
Sn (0.0000, 0.5000, 0.5000)
Sn (0.5000, 0.0000, 0.5000)
Rh (0.5000, 0.5000, 0.5000)

Values from the calculation:
density of states at the Fermi level: 5.7 states/eV/f.u.
formation enthalpy at 0 K: -0.262 eV per atom

---

No. 7
A plane-wave DFT calculation with PBE was carried out for crystalline Pr5HoS6 at its relaxed geometry.

Cell lengths 7.0574, 7.0574, 7.0454 Å; angles 99.66, 99.66, 120.09 degrees
Sites, in units of the cell vectors:
Pr (0.0000, 0.0000, 0.0000)
Pr (0.1676, 0.8324, 0.5000)
Pr (0.3282, 0.6718, 0.0000)
Pr (0.6718, 0.3282, 0.0000)
Pr (0.8324, 0.1676, 0.5000)
Ho (0.5000, 0.5000, 0.5000)
S (0.0984, 0.4194, 0.2587)
S (0.2605, 0.2605, 0.7455)
S (0.4194, 0.0984, 0.2587)
S (0.5806, 0.9016, 0.7413)
S (0.7395, 0.7395, 0.2545)
S (0.9016, 0.5806, 0.7413)

Values from the calculation:
raw total energy: -77.40 eV/f.u.
density of states at the Fermi level: 4.6 states/eV/f.u.

---

No. 8
A plane-wave DFT calculation with PBE was carried out for crystalline CdIn2Br at its relaxed geometry.

Cell lengths 6.5877, 6.5877, 14.8915 Å; angles 90.00, 90.00, 90.00 degrees
Sites, in units of the cell vectors:
Cd (0.0000, 0.0000, 0.0000)
Cd (0.0000, 0.5000, 0.2500)
Cd (0.5000, 0.0000, 0.7500)
Cd (0.5000, 0.5000, 0.5000)
In (0.2269, 0.2500, 0.1250)
In (0.2500, 0.7269, 0.3750)
In (0.2500, 0.7731, 0.8750)
In (0.2731, 0.2500, 0.6250)
In (0.7269, 0.7500, 0.6250)
In (0.7500, 0.2269, 0.8750)
In (0.7500, 0.2731, 0.3750)
In (0.7731, 0.7500, 0.1250)
Br (0.0000, 0.0000, 0.5000)
Br (0.0000, 0.5000, 0.7500)
Br (0.5000, 0.0000, 0.2500)
Br (0.5000, 0.5000, 0.0000)

Values from the calculation:
raw total energy: -8.19 eV/f.u.
density of states at the Fermi level: 3.1 states/eV/f.u.

---

Calculated total magnetization, 0.00; 0.00; 0.00; 0.00; 0.00; 0.00; 0.00; 0.00 μB/f.u. (same order as the records).